1.
CuSb3Mo: optimized geometry, PBE.

Lattice parameters (Å, degrees): 5.034 5.034 5.034 90.00 90.00 90.00
Space group Pm-3m (No. 221)
Asymmetric unit:
Cu: 0.000 0.000 0.000 [1 per cell]
Sb: 0.000 0.000 0.500 [3 per cell]
Mo: 0.500 0.500 0.500 [1 per cell]

Energy above the lowest structure with this stoichiometry ... 232 meV/atom
ΔE_f (raw) ... 987 meV/atom
Spin magnetization ... 3.40 μB/cell
Total energy ... -4.472 eV/atom


2.
CuSb2Mo: optimized geometry, PBE.

Lattice parameters (Å, degrees): 3.708 3.708 5.589 90.00 90.00 90.00
Space group P4mm (No. 99)
Asymmetric unit:
Cu: 0.000 0.000 0.000 [1 per cell]
Sb: 0.000 0.000 0.484 [1 per cell]
Sb: 0.500 0.500 0.836 [1 per cell]
Mo: 0.500 0.500 0.313 [1 per cell]

Energy above the lowest structure with this stoichiometry ... 145 meV/atom
ΔE_f (raw) ... 277 meV/atom
Spin magnetization ... 0.00 μB/cell
Total energy ... -5.516 eV/atom


3.
CuSb2Mo: optimized geometry, PBE.

Lattice parameters (Å, degrees): 4.079 3.565 10.516 90.00 90.00 90.00
Space group Amm2 (No. 38)
Asymmetric unit:
Cu: 0.000 0.000 0.000 [2 per cell]
Sb: 0.000 0.000 0.750 [2 per cell]
Sb: 0.500 0.000 0.458 [2 per cell]
Mo: 0.500 0.000 0.169 [2 per cell]

Energy above the lowest structure with this stoichiometry ... 0 meV/atom
ΔE_f (raw) ... 132 meV/atom
Spin magnetization ... 0.06 μB/cell
Total energy ... -5.661 eV/atom


4.
CuSb2Mo2: optimized geometry, PBE.

Lattice parameters (Å, degrees): 7.180 7.180 3.614 90.00 90.00 90.00
Space group P4/mbm (No. 127)
Asymmetric unit:
Cu: 0.000 0.000 0.000 [2 per cell]
Sb: 0.159 0.341 0.500 [4 per cell]
Mo: 0.140 0.640 0.000 [4 per cell]

ΔE_f (raw) ... 275 meV/atom
Spin magnetization ... 0.00 μB/cell
Total energy ... -6.526 eV/atom


5.
CuSbMo: optimized geometry, PBE.

Lattice parameters (Å, degrees): 2.930 2.930 13.777 90.00 90.00 90.00
Space group I4mm (No. 107)
Asymmetric unit:
Cu: 0.000 0.000 0.000 [2 per cell]
Sb: 0.000 0.000 0.274 [2 per cell]
Mo: 0.000 0.000 0.618 [2 per cell]

Energy above the lowest structure with this stoichiometry ... 213 meV/atom
ΔE_f (raw) ... 553 meV/atom
Spin magnetization ... 0.00 μB/cell
Total energy ... -5.797 eV/atom


6.
TaCuSb2Mo: optimized geometry, PBE.

Lattice parameters (Å, degrees): 4.870 4.870 4.618 90.00 90.00 90.00
Space group P4/mmm (No. 123)
Asymmetric unit:
Ta: 0.000 0.000 0.000 [1 per cell]
Cu: 0.500 0.500 0.500 [1 per cell]
Sb: 0.000 0.500 0.500 [2 per cell]
Mo: 0.500 0.500 0.000 [1 per cell]

ΔE_f (raw) ... 1318 meV/atom
Spin magnetization ... 1.73 μB/cell
Total energy ... -5.687 eV/atom


7.
CuSb2TeMo: optimized geometry, PBE.

Lattice parameters (Å, degrees): 4.989 4.989 5.212 90.00 90.00 90.00
Space group P4/mmm (No. 123)
Asymmetric unit:
Cu: 0.000 0.000 0.000 [1 per cell]
Sb: 0.000 0.500 0.000 [2 per cell]
Te: 0.000 0.000 0.500 [1 per cell]
Mo: 0.500 0.500 0.500 [1 per cell]

Energy above the lowest structure with this stoichiometry ... 224 meV/atom
ΔE_f (raw) ... 992 meV/atom
Spin magnetization ... 3.39 μB/cell
Total energy ... -4.271 eV/atom


8.
CuSb2TeMo: optimized geometry, PBE.

Lattice parameters (Å, degrees): 5.259 5.259 5.194 90.00 90.00 90.00
Space group P4/mmm (No. 123)
Asymmetric unit:
Cu: 0.000 0.000 0.000 [1 per cell]
Sb: 0.000 0.500 0.500 [2 per cell]
Te: 0.500 0.500 0.000 [1 per cell]
Mo: 0.500 0.500 0.500 [1 per cell]

Energy above the lowest structure with this stoichiometry ... 0 meV/atom
ΔE_f (raw) ... 768 meV/atom
Spin magnetization ... 0.00 μB/cell
Total energy ... -4.495 eV/atom


9.
Sc2CuMo: optimized geometry, PBE.

Lattice parameters (Å, degrees): 3.521 3.521 5.883 90.00 90.00 90.00
Space group P4mm (No. 99)
Asymmetric unit:
Sc: 0.000 0.000 0.000 [1 per cell]
Sc: 0.500 0.500 0.331 [1 per cell]
Cu: 0.000 0.000 0.549 [1 per cell]
Mo: 0.500 0.500 0.802 [1 per cell]

Energy above the lowest structure with this stoichiometry ... 196 meV/atom
Spin magnetization ... 0.00 μB/cell
Energy relative to the elements ... 0.188 eV per atom
Total energy ... -6.710 eV/atom


10.
Sc4CuMo: optimized geometry, PBE.

Lattice parameters (Å, degrees): 7.847 7.847 7.847 90.00 90.00 90.00
Space group F-43m (No. 216)
Asymmetric unit:
Sc: 0.124 0.124 0.376 [16 per cell]
Cu: 0.000 0.000 0.000 [4 per cell]
Mo: 0.250 0.250 0.750 [4 per cell]

Spin magnetization ... 0.00 μB/cell
Energy relative to the elements ... 0.663 eV per atom
Total energy ... -6.046 eV/atom


11.
Sc2CuMo: optimized geometry, PBE.

Lattice parameters (Å, degrees): 3.994 3.994 8.911 90.00 90.00 90.00
Space group I-4m2 (No. 119)
Asymmetric unit:
Sc: 0.000 0.000 0.000 [2 per cell]
Sc: 0.000 0.500 0.250 [2 per cell]
Cu: 0.000 0.500 0.750 [2 per cell]
Mo: 0.000 0.000 0.500 [2 per cell]

Energy above the lowest structure with this stoichiometry ... 122 meV/atom
Spin magnetization ... 0.00 μB/cell
Energy relative to the elements ... 0.113 eV per atom
Total energy ... -6.784 eV/atom


12.
Sc3CuMo: optimized geometry, PBE.

Lattice parameters (Å, degrees): 4.843 4.843 4.843 90.00 90.00 90.00
Space group Pm-3m (No. 221)
Asymmetric unit:
Sc: 0.000 0.000 0.500 [3 per cell]
Cu: 0.000 0.000 0.000 [1 per cell]
Mo: 0.500 0.500 0.500 [1 per cell]

Energy above the lowest structure with this stoichiometry ... 23 meV/atom
Spin magnetization ... 2.15 μB/cell
Energy relative to the elements ... 0.670 eV per atom
Total energy ... -6.114 eV/atom


13.
Sc2CuMo: optimized geometry, PBE.

Lattice parameters (Å, degrees): 3.310 3.310 6.555 90.00 90.00 90.00
Space group P4/mmm (No. 123)
Asymmetric unit:
Sc: 0.000 0.000 0.246 [2 per cell]
Cu: 0.500 0.500 0.500 [1 per cell]
Mo: 0.500 0.500 0.000 [1 per cell]

Energy above the lowest structure with this stoichiometry ... 0 meV/atom
Spin magnetization ... 0.00 μB/cell
Energy relative to the elements ... -0.008 eV per atom
Total energy ... -6.906 eV/atom


14.
ScCu2Mo: optimized geometry, PBE.

Lattice parameters (Å, degrees): 6.293 6.293 6.293 90.00 90.00 90.00
Space group F-43m (No. 216)
Asymmetric unit:
Sc: 0.000 0.000 0.000 [4 per cell]
Cu: 0.000 0.000 0.500 [4 per cell]
Cu: 0.250 0.250 0.750 [4 per cell]
Mo: 0.250 0.250 0.250 [4 per cell]

Energy above the lowest structure with this stoichiometry ... 219 meV/atom
Spin magnetization ... 11.71 μB/cell
Energy relative to the elements ... 0.320 eV per atom
Total energy ... -6.019 eV/atom


15.
ScCu2Mo: optimized geometry, PBE.

Lattice parameters (Å, degrees): 3.825 3.825 8.316 90.00 90.00 90.00
Space group I-4m2 (No. 119)
Asymmetric unit:
Sc: 0.000 0.000 0.000 [2 per cell]
Cu: 0.000 0.000 0.500 [2 per cell]
Cu: 0.000 0.500 0.750 [2 per cell]
Mo: 0.000 0.500 0.250 [2 per cell]

Energy above the lowest structure with this stoichiometry ... 98 meV/atom
Spin magnetization ... 1.13 μB/cell
Energy relative to the elements ... 0.198 eV per atom
Total energy ... -6.140 eV/atom


16.
Sc3CuMo: optimized geometry, PBE.

Lattice parameters (Å, degrees): 4.991 4.991 4.991 90.00 90.00 90.00
Space group Pm-3m (No. 221)
Asymmetric unit:
Sc: 0.000 0.000 0.500 [3 per cell]
Cu: 0.500 0.500 0.500 [1 per cell]
Mo: 0.000 0.000 0.000 [1 per cell]

Energy above the lowest structure with this stoichiometry ... 0 meV/atom
Spin magnetization ... 0.00 μB/cell
Energy relative to the elements ... 0.647 eV per atom
Total energy ... -6.138 eV/atom


17.
ScCu2Mo2: optimized geometry, PBE.

Lattice parameters (Å, degrees): 6.724 6.724 3.442 90.00 90.00 90.00
Space group P4/mbm (No. 127)
Asymmetric unit:
Sc: 0.000 0.000 0.000 [2 per cell]
Cu: 0.128 0.372 0.000 [4 per cell]
Mo: 0.164 0.664 0.500 [4 per cell]

Energy above the lowest structure with this stoichiometry ... 173 meV/atom
Spin magnetization ... 0.00 μB/cell
Energy relative to the elements ... 0.359 eV per atom
Total energy ... -6.878 eV/atom


18.
ScCu2Mo: optimized geometry, PBE.

Lattice parameters (Å, degrees): 2.812 2.812 7.709 90.00 90.00 90.00
Space group P4mm (No. 99)
Asymmetric unit:
Sc: 0.000 0.000 0.000 [1 per cell]
Cu: 0.000 0.000 0.468 [1 per cell]
Cu: 0.500 0.500 0.265 [1 per cell]
Mo: 0.500 0.500 0.707 [1 per cell]

Energy above the lowest structure with this stoichiometry ... 0 meV/atom
Spin magnetization ... 0.00 μB/cell
Energy relative to the elements ... 0.100 eV per atom
Total energy ... -6.238 eV/atom


19.
Sc2Cu2Mo: optimized geometry, PBE.

Lattice parameters (Å, degrees): 7.466 7.466 3.019 90.00 90.00 90.00
Space group P4/mbm (No. 127)
Asymmetric unit:
Sc: 0.180 0.320 0.000 [4 per cell]
Cu: 0.117 0.617 0.500 [4 per cell]
Mo: 0.000 0.000 0.500 [2 per cell]

Spin magnetization ... 0.00 μB/cell
Energy relative to the elements ... 0.048 eV per atom
Total energy ... -6.289 eV/atom


20.
ScCu2Mo: optimized geometry, PBE.

Lattice parameters (Å, degrees): 9.423 2.745 4.881 90.00 99.60 90.00
Space group C2/m (No. 12)
Asymmetric unit:
Sc: 0.000 0.000 0.000 [2 per cell]
Cu: 0.244 0.000 0.725 [4 per cell]
Mo: 0.000 0.500 0.500 [2 per cell]

Energy above the lowest structure with this stoichiometry ... 144 meV/atom
Spin magnetization ... 0.00 μB/cell
Energy relative to the elements ... 0.245 eV per atom
Total energy ... -6.094 eV/atom


21.
ScCu2Mo2: optimized geometry, PBE.

Lattice parameters (Å, degrees): 3.634 3.634 12.471 90.00 90.00 90.00
Space group I4/mmm (No. 139)
Asymmetric unit:
Sc: 0.000 0.000 0.000 [2 per cell]
Cu: 0.000 0.000 0.406 [4 per cell]
Mo: 0.000 0.500 0.250 [4 per cell]

Energy above the lowest structure with this stoichiometry ... 0 meV/atom
Spin magnetization ... 0.00 μB/cell
Energy relative to the elements ... 0.186 eV per atom
Total energy ... -7.051 eV/atom


22.
Sc2CuMo: optimized geometry, PBE.

Lattice parameters (Å, degrees): 3.077 4.727 10.007 90.00 90.00 90.00
Space group Imm2 (No. 44)
Asymmetric unit:
Sc: 0.000 0.000 0.000 [2 per cell]
Sc: 0.000 0.500 0.212 [2 per cell]
Cu: 0.000 0.500 0.739 [2 per cell]
Mo: 0.000 0.000 0.453 [2 per cell]

Energy above the lowest structure with this stoichiometry ... 76 meV/atom
Spin magnetization ... 0.00 μB/cell
Energy relative to the elements ... 0.068 eV per atom
Total energy ... -6.830 eV/atom


23.
Sc2CuMo2: optimized geometry, PBE.

Lattice parameters (Å, degrees): 3.776 3.776 13.511 90.00 90.00 90.00
Space group I4/mmm (No. 139)
Asymmetric unit:
Sc: 0.000 0.500 0.250 [4 per cell]
Cu: 0.000 0.000 0.000 [2 per cell]
Mo: 0.000 0.000 0.418 [4 per cell]

Energy above the lowest structure with this stoichiometry ... 706 meV/atom
Spin magnetization ... 0.00 μB/cell
Energy relative to the elements ... 0.975 eV per atom
Total energy ... -6.709 eV/atom


24.
ScCu2Mo: optimized geometry, PBE.

Lattice parameters (Å, degrees): 6.262 6.262 6.262 90.00 90.00 90.00
Space group Fm-3m (No. 225)
Asymmetric unit:
Sc: 0.000 0.000 0.000 [4 per cell]
Cu: 0.250 0.250 0.250 [8 per cell]
Mo: 0.000 0.000 0.500 [4 per cell]

Energy above the lowest structure with this stoichiometry ... 56 meV/atom
Spin magnetization ... 0.00 μB/cell
Energy relative to the elements ... 0.157 eV per atom
Total energy ... -6.182 eV/atom


25.
ScCu2Mo: optimized geometry, PBE.

Lattice parameters (Å, degrees): 2.857 3.786 5.643 90.00 90.00 90.00
Space group Pmmm (No. 47)
Asymmetric unit:
Sc: 0.000 0.000 0.000 [1 per cell]
Cu: 0.500 0.500 0.270 [2 per cell]
Mo: 0.000 0.000 0.500 [1 per cell]

Energy above the lowest structure with this stoichiometry ... 9 meV/atom
Spin magnetization ... 0.00 μB/cell
Energy relative to the elements ... 0.109 eV per atom
Total energy ... -6.230 eV/atom


26.
ScCu2Mo: optimized geometry, PBE.

Lattice parameters (Å, degrees): 3.746 3.746 18.890 90.00 90.00 90.00
Space group I-42d (No. 122)
Asymmetric unit:
Sc: 0.000 0.000 0.000 [4 per cell]
Cu: 0.233 0.250 0.625 [8 per cell]
Mo: 0.000 0.000 0.500 [4 per cell]

Energy above the lowest structure with this stoichiometry ... 528 meV/atom
Spin magnetization ... 0.00 μB/cell
Energy relative to the elements ... 0.628 eV per atom
Total energy ... -5.711 eV/atom


27.
Sc2CuMo: optimized geometry, PBE.

Lattice parameters (Å, degrees): 4.825 4.825 3.086 90.00 90.00 90.00
Space group P4/mmm (No. 123)
Asymmetric unit:
Sc: 0.000 0.500 0.000 [2 per cell]
Cu: 0.000 0.000 0.500 [1 per cell]
Mo: 0.500 0.500 0.500 [1 per cell]

Energy above the lowest structure with this stoichiometry ... 54 meV/atom
Spin magnetization ... 0.00 μB/cell
Energy relative to the elements ... 0.046 eV per atom
Total energy ... -6.852 eV/atom


28.
ScCu4Mo: optimized geometry, PBE.

Lattice parameters (Å, degrees): 6.964 6.964 6.964 90.00 90.00 90.00
Space group F-43m (No. 216)
Asymmetric unit:
Sc: 0.000 0.000 0.000 [4 per cell]
Cu: 0.125 0.125 0.625 [16 per cell]
Mo: 0.250 0.250 0.250 [4 per cell]

Spin magnetization ... 4.48 μB/cell
Energy relative to the elements ... 0.080 eV per atom
Total energy ... -5.512 eV/atom


29.
Sc2CuMo: optimized geometry, PBE.

Lattice parameters (Å, degrees): 2.910 2.910 8.613 90.00 90.00 90.00
Space group P4mm (No. 99)
Asymmetric unit:
Sc: 0.000 0.000 0.000 [1 per cell]
Sc: 0.500 0.500 0.322 [1 per cell]
Cu: 0.000 0.000 0.542 [1 per cell]
Mo: 0.500 0.500 0.748 [1 per cell]

Energy above the lowest structure with this stoichiometry ... 153 meV/atom
Spin magnetization ... 0.00 μB/cell
Energy relative to the elements ... 0.145 eV per atom
Total energy ... -6.753 eV/atom